--- 1 ---
Compound: Si2WAu
Source: Alexandria
Functional: PBE
Structure: relaxed

Cell: 5.7688 5.7688 5.7688 Å, 146.06 143.31 50.84°
Last column: nearest neighbours and their distance in Å.
Sites, in units of the cell vectors:
Au 0.2801 0.7801 0.5000  6 Si 2.57-2.66
Si 0.9668 0.9668 0.0000  4 W 2.59, 2 Au 2.66
Si 0.7149 0.2149 0.5000  2 W 2.49, 4 Au 2.57
W 0.5383 0.5383 0.0000  6 Si 2.49-2.59

Values from the calculation:
**Magnetic moment**: 0.0 μB/cell
**Space group**: No. 44

--- 2 ---
Compound: Si2WAu
Source: Alexandria
Functional: PBE
Structure: relaxed

Cell: 3.8753 2.8439 5.6664 Å, 89.96 90.00 90.00°
Last column: nearest neighbours and their distance in Å.
Sites, in units of the cell vectors:
Au 0.5000 0.7500 0.7500  4 Si 2.53
Si 0.0000 0.7507 0.0372  1 Si 2.41, 2 Au 2.53, 4 W 2.69
Si 0.0000 0.7493 0.4628  1 Si 2.41, 2 Au 2.53, 4 W 2.69
W 0.5000 0.2500 0.2500  8 Si 2.69, 2 W 2.84

Values from the calculation:
**Magnetic moment**: 0.0 μB/cell
**Space group**: No. 47

Which structure is the least stable? The one labeled 1.

--- 1 ---
Compound: Si2WAu
Source: Alexandria
Functional: PBE
Structure: relaxed

Cell: 4.4724 4.4724 5.0210 Å, 79.17 79.17 40.59°
Last column: nearest neighbours and their distance in Å.
Sites, in units of the cell vectors:
Au 0.2500 0.2500 0.2500  6 Si 2.76-2.89, 4 W 2.95
Si 0.0138 0.0138 0.9387  2 Si 2.50, 3 W 2.55-2.58, 1 Au 2.76
Si 0.4862 0.4862 0.5613  2 Si 2.50, 3 W 2.55-2.58, 1 Au 2.76
W 0.7500 0.7500 0.7500  6 Si 2.55-2.58

Values from the calculation:
**Magnetic moment**: 0.0 μB/cell
**Space group**: No. 12

--- 2 ---
Compound: Si2WAu
Source: Alexandria
Functional: PBE
Structure: relaxed

Cell: 2.7753 2.7753 8.2228 Å, 90.00 90.00 98.36°
Last column: nearest neighbours and their distance in Å.
Sites, in units of the cell vectors:
Au 0.5000 0.5000 0.7540  4 Au 2.78, 4 Si 2.79-2.98, 4 W 2.87-3.06
Si 0.0000 0.0000 0.0112  8 Si 2.68-2.88, 4 Au 2.79-2.98
Si 0.5000 0.5000 0.2510  4 W 2.64-2.84, 8 Si 2.68-2.88
W 0.0000 0.0000 0.4837  4 Si 2.64-2.84, 4 W 2.78, 2 Au 2.87

Values from the calculation:
**Magnetic moment**: 0.0 μB/cell
**Space group**: No. 35

Which structure is the least stable? The one labeled 2.

--- 1 ---
Compound: Si2WAu
Source: Alexandria
Functional: PBE
Structure: relaxed

Cell: 4.4162 4.4162 4.4162 Å, 60.00 60.00 60.00°
Last column: nearest neighbours and their distance in Å.
Sites, in units of the cell vectors:
Si 0.2500 0.2500 0.2500  4 W 2.70, 4 Au 2.70
Si 0.7500 0.7500 0.7500  4 W 2.70, 4 Au 2.70
Au 0.5000 0.5000 0.5000  8 Si 2.70
W 0.0000 0.0000 0.0000  8 Si 2.70

Values from the calculation:
**Magnetic moment**: 0.0 μB/cell
**Space group**: No. 225

--- 2 ---
Compound: Si2WAu
Source: Alexandria
Functional: PBE
Structure: relaxed

Cell: 4.4846 4.4846 4.4846 Å, 60.00 60.00 60.00°
Last column: nearest neighbours and their distance in Å.
Sites, in units of the cell vectors:
Au 0.5000 0.5000 0.5000  4 W 2.75, 4 Si 2.75
Si 0.0000 0.0000 0.0000  4 Si 2.75, 4 W 2.75
Si 0.7500 0.7500 0.7500  4 Au 2.75, 4 Si 2.75
W 0.2500 0.2500 0.2500  4 Si 2.75, 4 Au 2.75

Values from the calculation:
**Magnetic moment**: 0.0 μB/cell
**Space group**: No. 216

--- 3 ---
Compound: Si2WAu
Source: Alexandria
Functional: PBE
Structure: relaxed

Cell: 3.3814 3.3814 5.3592 Å, 90.00 90.00 90.00°
Last column: nearest neighbours and their distance in Å.
Sites, in units of the cell vectors:
Au 0.5000 0.5000 0.7934  6 Si 2.57-2.79
Si 0.0000 0.0000 0.9830  1 W 2.51, 4 Au 2.60
Si 0.5000 0.5000 0.2728  2 Au 2.57-2.79, 4 W 2.57, 4 Si 2.85
W 0.0000 0.0000 0.4508  5 Si 2.51-2.57

Values from the calculation:
**Magnetic moment**: 0.0 μB/cell
**Space group**: No. 99

--- 4 ---
Compound: Si2WAu
Source: Alexandria
Functional: PBE
Structure: relaxed

Cell: 8.2424 8.2424 8.2424 Å, 20.92 20.92 20.92°
Last column: nearest neighbours and their distance in Å.
Sites, in units of the cell vectors:
Au 0.7438 0.7438 0.7438  3 Si 2.61, 3 W 2.89
Si 0.9960 0.9960 0.9960  3 Si 2.52, 3 Au 2.61
Si 0.2537 0.2537 0.2537  3 Si 2.52, 3 W 2.60
W 0.5065 0.5065 0.5065  3 Si 2.60, 3 Au 2.89

Values from the calculation:
**Magnetic moment**: 0.0 μB/cell
**Space group**: No. 160

Which structure is the least stable? The one labeled 2.